Below is an optimized crystal structure of BaNiGe2, with properties calculated at the PBE-GGA level.

Values from the calculation:
The energy comes out at -3.977 eV per atom. Its crystal system is cubic. Its space-group type is F-43m (216).

a b c (Å): 4.9949 4.9949 4.9949
angles (deg): 60.00 60.00 60.00
Last column: nearest neighbours and their distance in Å.
Atoms (fractional coordinates):
Ba  0.7500  0.7500  0.7500  4 Ge 3.06, 4 Ni 3.06
Ge  0.2500  0.2500  0.2500  4 Ge 3.06, 4 Ni 3.06
Ge  0.5000  0.5000  0.5000  4 Ba 3.06, 4 Ge 3.06
Ni  0.0000  0.0000  0.0000  4 Ba 3.06, 4 Ge 3.06